[1]
The following is a DFT calculation (GGA-PBE) of an optimized crystal structure of Y2AsRh.

Calculated values
Its crystal system is orthorhombic. For the total energy, the calculation gives -7.3502 eV/atom. For the formation energy from the elements, the calculation gives -1118 meV per atom.

a b c (Å): 4.286 3.858 10.730
angles (deg): 90.00 90.00 90.00
Space group Amm2 (No. 38)
Unique sites:
Y 0.000 0.000 0.000
Y 0.500 0.000 0.279
As 0.500 0.000 0.559
Rh 0.000 0.000 0.727

---

[2]
The following is a DFT calculation (GGA-PBE) of an optimized crystal structure of In6Hg6Bi.

Calculated values
Its crystal system is orthorhombic. For the total energy, the calculation gives -1.6241 eV/atom. For the formation energy from the elements, the calculation gives 78 meV per atom.

a b c (Å): 6.432 11.283 10.074
angles (deg): 90.00 90.00 90.00
Space group Cmmm (No. 65)
Unique sites:
In 0.000 0.000 0.170
In 0.000 0.334 0.000
In 0.000 0.334 0.500
Hg 0.000 0.500 0.252
Hg 0.250 0.250 0.252
Bi 0.000 0.000 0.500

---

[3]
The following is a DFT calculation (GGA-PBE) of an optimized crystal structure of SrAsCl2.

Calculated values
Its crystal system is cubic. Its uncorrected formation energy is -92 kJ per mole of atoms. The energy above the most stable polymorph in this dataset is 0.2481 eV/atom. For the total energy, the calculation gives -3.4550 eV/atom.

a b c (Å): 7.533 7.533 7.533
angles (deg): 90.00 90.00 90.00
Space group Fm-3m (No. 225)
Unique sites:
Sr 0.000 0.000 0.000
As 0.000 0.000 0.500
Cl 0.250 0.250 0.250

---

[4]
The following is a DFT calculation (GGA-PBE) of an optimized crystal structure of Hf4TlRe.

Calculated values
Its crystal system is tetragonal. The energy above the most stable polymorph in this dataset is 0.6393 eV/atom. For the total energy, the calculation gives -8.5574 eV/atom. For the formation energy from the elements, the calculation gives 547 meV per atom.

a b c (Å): 5.511 5.511 8.869
angles (deg): 90.00 90.00 90.00
Space group I-4m2 (No. 119)
Unique sites:
Hf 0.000 0.000 0.177
Hf 0.000 0.500 0.557
Tl 0.000 0.000 0.500
Re 0.000 0.500 0.250

---

[5]
The following is a DFT calculation (GGA-PBE) of an optimized crystal structure of Pm12DyIn3.

Calculated values
Its crystal system is tetragonal. For the total energy, the calculation gives -4.5613 eV/atom. For the formation energy from the elements, the calculation gives -197 meV per atom.

a b c (Å): 4.969 4.969 20.252
angles (deg): 90.00 90.00 90.00
Space group P4/mmm (No. 123)
Unique sites:
Pm 0.000 0.000 0.000
Pm 0.000 0.000 0.246
Pm 0.000 0.000 0.500
Pm 0.000 0.500 0.123
Pm 0.000 0.500 0.369
Dy 0.500 0.500 0.500
In 0.500 0.500 0.000
In 0.500 0.500 0.244

---

[6]
The following is a DFT calculation (GGA-PBE) of an optimized crystal structure of La4SmEr15.

Calculated values
Its crystal system is tetragonal. For the total energy, the calculation gives -4.6093 eV/atom. For the formation energy from the elements, the calculation gives 34 meV per atom.

a b c (Å): 5.056 5.056 25.053
angles (deg): 90.00 90.00 90.00
Space group P4/mmm (No. 123)
Unique sites:
La 0.000 0.000 0.100
La 0.000 0.000 0.300
Sm 0.000 0.000 0.500
Er 0.000 0.500 0.000
Er 0.000 0.500 0.201
Er 0.000 0.500 0.402
Er 0.500 0.500 0.100
Er 0.500 0.500 0.301
Er 0.500 0.500 0.500

---

[7]
The following is a DFT calculation (GGA-PBE) of an optimized crystal structure of Ba3Mg7Ga4.

Calculated values
Its crystal system is monoclinic. For the total energy, the calculation gives -2.3037 eV/atom. For the formation energy from the elements, the calculation gives -230 meV per atom.

a b c (Å): 18.063 4.863 10.721
angles (deg): 90.00 125.36 90.00
Space group C2/m (No. 12)
Unique sites:
Ba 0.000 0.000 0.000
Ba 0.199 0.500 0.705
Mg 0.000 0.000 0.500
Mg 0.006 0.500 0.295
Mg 0.160 0.000 0.422
Mg 0.175 0.500 0.017
Ga 0.120 0.000 0.833
Ga 0.159 0.500 0.279

---

[8]
The following is a DFT calculation (GGA-PBE) of an optimized crystal structure of TmIn2.

Calculated values
Its crystal system is orthorhombic. For the total energy, the calculation gives -3.5457 eV/atom. For the formation energy from the elements, the calculation gives -230 meV per atom.

a b c (Å): 4.855 5.188 12.311
angles (deg): 90.00 90.00 90.00
Space group Fmmm (No. 69)
Unique sites:
Tm 0.000 0.000 0.000
In 0.000 0.000 0.329

---

[9]
The following is a DFT calculation (GGA-PBE) of an optimized crystal structure of HoFeRu.

Calculated values
Its crystal system is orthorhombic. For the total energy, the calculation gives -7.6894 eV/atom. For the formation energy from the elements, the calculation gives -251 meV per atom.

a b c (Å): 5.121 5.379 7.372
angles (deg): 90.00 90.00 90.00
Space group Imma (No. 74)
Unique sites:
Ho 0.000 0.250 0.125
Fe 0.250 0.250 0.750
Ru 0.000 0.000 0.500

---

[10]
The following is a DFT calculation (GGA-PBE) of an optimized crystal structure of YHoSe2.

Calculated values
Its crystal system is orthorhombic. Its uncorrected formation energy is -135 kJ per mole of atoms. The energy above the most stable polymorph in this dataset is 0.3465 eV/atom. For the total energy, the calculation gives -5.8996 eV/atom.

a b c (Å): 4.252 9.128 6.419
angles (deg): 90.00 90.00 90.00
Space group Pmn2_1 (No. 31)
Unique sites:
Y 0.000 0.085 0.000
Ho 0.000 0.664 0.867
Se 0.000 0.404 0.114
Se 0.000 0.827 0.228